# 1
The following is a PBE calculation of an optimized crystal structure of Li3Ag5Sn, from Alexandria.

The space group is C2/m (No. 12) and the conventional cell measures 8.978, 6.956 and 11.291 Å, with angles of 90.00, 98.12 and 90.00 degrees. The distinct sites, in fractional coordinates, are Li at (0.000, 0.000, 0.000), Li at (0.000, 0.000, 0.500), Li at (0.173, 0.500, 0.007), Li at (0.249, 0.000, 0.377), Ag at (0.000, 0.314, 0.500), Ag at (0.028, 0.500, 0.784), Ag at (0.199, 0.218, 0.175), Ag at (0.227, 0.500, 0.388) and Sn at (0.060, 0.000, 0.765).

The density of states at the Fermi level comes out at 0.2418 states/eV per atom. The calculation puts the energy above the most stable polymorph in this dataset at 166 meV/atom. For the total magnetization, the calculation gives 0.000 μB/atom.

# 2
The following is a PBE calculation of an optimized crystal structure of Li2AgSn2, from Alexandria.

The space group is I4/mmm (No. 139) and the conventional cell measures 3.961, 3.961 and 13.590 Å, with angles of 90.00, 90.00 and 90.00 degrees. The distinct sites, in fractional coordinates, are Li at (0.000, 0.500, 0.250), Ag at (0.000, 0.000, 0.000) and Sn at (0.000, 0.000, 0.398).

The density of states at the Fermi level comes out at 0.3720 states/eV per atom. For the total magnetization, the calculation gives 0.000 μB/atom. Its total energy is -29.76 eV for the cell shown.

# 3
The following is a PBE calculation of an optimized crystal structure of SrLi4AgSn2, from Alexandria.

The space group is R-3m (No. 166, hexagonal axes) and the conventional cell measures 4.7503, 4.7503 and 26.4337 Å, with angles of 90.00, 90.00 and 120.00 degrees. The distinct sites, in fractional coordinates, are Sr at (0.0000, 0.0000, 0.0000), Li at (0.0000, 0.0000, 0.1338), Li at (0.0000, 0.0000, 0.4042), Ag at (0.0000, 0.0000, 0.5000) and Sn at (0.0000, 0.0000, 0.2449).

The density of states at the Fermi level comes out at 0.4464 states/eV per atom. For the total magnetization, the calculation gives 0.000 μB/atom. Its total energy is -68.88 eV for the cell shown.

# 4
The following is a PBE calculation of an optimized crystal structure of Sr2LiAgSn, from Alexandria.

The space group is P4/mmm (No. 123) and the conventional cell measures 6.004, 6.004 and 4.782 Å, with angles of 90.00, 90.00 and 90.00 degrees. The distinct sites, in fractional coordinates, are Sr at (0.000, 0.500, 0.000), Li at (0.000, 0.000, 0.500), Ag at (0.000, 0.000, 0.000) and Sn at (0.500, 0.500, 0.500).

The density of states at the Fermi level comes out at 0.4028 states/eV per atom. For the total magnetization, the calculation gives 0.000 μB/atom. Its total energy is -12.88 eV for the cell shown.